(1)
The following is a DFT calculation (meta-GGA SCAN) of HgPSe2 at its PBEsol-relaxed geometry.

Cell: 3.0470 3.0470 9.4993 Å, 90.00 90.00 90.00°
Fractional positions:
Hg1 0.0000 0.0000 0.0000
P1 0.5000 0.5000 0.2932
Se1 0.0000 0.0000 0.4159
Se2 0.5000 0.5000 0.7233

crystal system = tetragonal

=====

(2)
The following is a DFT calculation (meta-GGA SCAN) of Hg3PSe at its PBEsol-relaxed geometry.

Cell: 4.9728 4.9728 4.9728 Å, 90.00 90.00 90.00°
Fractional positions:
Hg1 0.0000 0.0000 0.5000
Hg2 0.0000 0.5000 0.0000
Hg3 0.5000 0.0000 0.0000
P1 0.0000 0.0000 0.0000
Se1 0.5000 0.5000 0.5000

crystal system = cubic

=====

(3)
The following is a DFT calculation (meta-GGA SCAN) of HgTePSe2 at its PBEsol-relaxed geometry.

Cell: 5.0231 5.0231 5.5626 Å, 90.00 90.00 90.00°
Fractional positions:
Hg1 0.0000 0.0000 0.0000
Te1 0.0000 0.0000 0.5000
P1 0.5000 0.5000 0.5000
Se1 0.0000 0.5000 0.0000
Se2 0.5000 0.0000 0.0000

crystal system = tetragonal

=====

no.,E_form (uncorrected) (eV/atom)
1,0.45
2,0.28
3,1.14